(1)
{
  "formula": "Ho3InRu2",
  "functional": "GGA-PBE",
  "state": "relaxed",
  "space_group": "P4/mmm, No. 123",
  "volume_a3_per_atom": 21.775,
  "e_form_ev_per_atom": -0.452,
  "dos_at_fermi_per_ev_fu": 3.5,
  "magnetic_moment_mub_per_fu": 0.00,
  "mass_density_g_cm3": 10.32,
  "lattice": [[-2.081, 2.354, -1.425], [-2.615, -1.135, 1.944], [2.728, 7.165, 7.855]],
  "species": ["Ho", "Ho", "Ho", "In", "Ru", "Ru"],
  "fractional_positions": [[0.000, 0.000, 0.000], [0.000, 0.000, 0.700], [0.000, 0.000, 0.300], [0.500, 0.500, 0.500], [0.500, 0.500, 0.843], [0.500, 0.500, 0.157]]
}

(2)
{
  "formula": "Ho5InRu",
  "functional": "GGA-PBE",
  "state": "relaxed",
  "space_group": "C2/c, No. 15",
  "volume_a3_per_atom": 27.511,
  "e_form_ev_per_atom": -0.170,
  "dos_at_fermi_per_ev_fu": 6.7,
  "magnetic_moment_mub_per_fu": 0.00,
  "mass_density_g_cm3": 8.97,
  "lattice": [[-3.499, 3.709, -2.983], [-3.324, -3.755, -3.122], [-9.980, -0.348, 6.182]],
  "species": ["Ho", "Ho", "Ho", "Ho", "Ho", "Ho", "Ho", "Ho", "Ho", "Ho", "In", "In", "Ru", "Ru"],
  "fractional_positions": [[0.918, 0.586, 0.124], [0.206, 0.544, 0.564], [0.586, 0.918, 0.624], [0.991, 0.009, 0.250], [0.456, 0.794, 0.936], [0.544, 0.206, 0.064], [0.009, 0.991, 0.750], [0.414, 0.082, 0.376], [0.794, 0.456, 0.436], [0.082, 0.414, 0.876], [0.400, 0.600, 0.250], [0.600, 0.400, 0.750], [0.000, 0.000, 0.000], [0.000, 0.000, 0.500]]
}

(3)
{
  "formula": "Ho4InRu2",
  "functional": "GGA-PBE",
  "state": "relaxed",
  "space_group": "P1, No. 1",
  "polymorph_energy_mev_per_atom": 0,
  "volume_a3_per_atom": 24.625,
  "e_form_ev_per_atom": -0.375,
  "dos_at_fermi_per_ev_fu": 5.1,
  "magnetic_moment_mub_per_fu": 0.00,
  "mass_density_g_cm3": 9.41,
  "lattice": [[-6.848, 5.046, -2.710], [0.423, -6.984, -5.555], [-0.999, 1.031, 7.402]],
  "species": ["Ho", "Ho", "Ho", "Ho", "Ho", "Ho", "Ho", "Ho", "In", "In", "Ru", "Ru", "Ru", "Ru"],
  "fractional_positions": [[0.929, 0.870, 0.136], [0.515, 0.956, 0.634], [0.779, 0.278, 0.363], [0.951, 0.351, 0.866], [0.347, 0.931, 0.168], [0.333, 0.332, 0.861], [0.487, 0.571, 0.668], [0.766, 0.665, 0.365], [0.141, 0.727, 0.588], [0.111, 0.197, 0.087], [0.642, 0.370, 0.765], [0.645, 0.872, 0.265], [0.466, 0.230, 0.117], [0.137, 0.401, 0.616]]
}

(4)
{
  "formula": "HoInRu",
  "functional": "GGA-PBE",
  "state": "relaxed",
  "space_group": "I4mm, No. 107",
  "volume_a3_per_atom": 20.795,
  "e_form_ev_per_atom": -0.313,
  "dos_at_fermi_per_ev_fu": 0.4,
  "magnetic_moment_mub_per_fu": 0.00,
  "mass_density_g_cm3": 10.14,
  "lattice": [[-2.821, 1.962, 0.210], [-1.809, -2.424, -1.644], [1.107, -1.998, 5.331]],
  "species": ["Ru", "Ho", "In"],
  "fractional_positions": [[0.671, 0.671, 0.342], [0.018, 0.018, 0.036], [0.311, 0.311, 0.622]]
}

(5)
{
  "formula": "Ho12InRu6",
  "functional": "GGA-PBE",
  "state": "relaxed",
  "space_group": "Im-3, No. 204",
  "volume_a3_per_atom": 24.688,
  "e_form_ev_per_atom": -0.312,
  "dos_at_fermi_per_ev_fu": 19.9,
  "magnetic_moment_mub_per_fu": 0.00,
  "mass_density_g_cm3": 9.56,
  "lattice": [[-5.487, 1.291, 6.332], [4.740, -6.816, 1.714], [5.009, 6.790, -0.828]],
  "species": ["Ho", "Ho", "Ho", "Ho", "Ho", "Ho", "Ho", "Ho", "Ho", "Ho", "Ho", "Ho", "In", "Ru", "Ru", "Ru", "Ru", "Ru", "Ru"],
  "fractional_positions": [[0.296, 0.102, 0.806], [0.296, 0.490, 0.194], [0.704, 0.510, 0.806], [0.704, 0.898, 0.194], [0.102, 0.806, 0.296], [0.490, 0.194, 0.296], [0.510, 0.806, 0.704], [0.898, 0.194, 0.704], [0.806, 0.296, 0.102], [0.194, 0.296, 0.490], [0.806, 0.704, 0.510], [0.194, 0.704, 0.898], [0.000, 0.000, 0.000], [0.375, 0.500, 0.875], [0.625, 0.500, 0.125], [0.500, 0.875, 0.375], [0.500, 0.125, 0.625], [0.875, 0.375, 0.500], [0.125, 0.625, 0.500]]
}

(6)
{
  "formula": "Ho8InRu2",
  "functional": "GGA-PBE",
  "state": "relaxed",
  "space_group": "C2/m, No. 12",
  "polymorph_energy_mev_per_atom": 0,
  "volume_a3_per_atom": 27.307,
  "e_form_ev_per_atom": -0.262,
  "dos_at_fermi_per_ev_fu": 9.6,
  "magnetic_moment_mub_per_fu": 0.00,
  "mass_density_g_cm3": 9.05,
  "lattice": [[5.406, -0.046, -0.069], [-0.957, 7.807, -0.080], [-0.957, -3.081, 7.174]],
  "species": ["Ho", "Ho", "Ho", "Ho", "Ho", "Ho", "Ho", "Ho", "In", "Ru", "Ru"],
  "fractional_positions": [[0.923, 0.935, 0.671], [0.923, 0.671, 0.935], [0.301, 0.615, 0.615], [0.500, 0.752, 0.248], [0.500, 0.248, 0.752], [0.699, 0.385, 0.385], [0.077, 0.329, 0.065], [0.077, 0.065, 0.329], [0.500, 0.000, 0.000], [0.000, 0.314, 0.686], [0.000, 0.686, 0.314]]
}

(7)
{
  "formula": "Ho6InRu5",
  "functional": "GGA-PBE",
  "state": "relaxed",
  "space_group": "Cmmm, No. 65",
  "volume_a3_per_atom": 20.366,
  "e_form_ev_per_atom": -0.390,
  "dos_at_fermi_per_ev_fu": 5.2,
  "magnetic_moment_mub_per_fu": 0.00,
  "mass_density_g_cm3": 10.94,
  "lattice": [[-4.075, 1.541, 2.124], [2.846, -1.074, 6.240], [4.608, 6.024, -1.064]],
  "species": ["Ru", "Ru", "Ru", "Ru", "Ru", "Ho", "Ho", "Ho", "Ho", "Ho", "Ho", "In"],
  "fractional_positions": [[0.667, 0.500, 0.333], [0.338, 0.000, 0.675], [0.000, 0.500, 0.000], [0.662, 0.000, 0.325], [0.333, 0.500, 0.667], [0.827, 0.744, 0.653], [0.827, 0.256, 0.653], [0.500, 0.268, 0.000], [0.500, 0.732, 0.000], [0.173, 0.744, 0.347], [0.173, 0.256, 0.347], [0.000, 0.000, 0.000]]
}

(8)
{
  "formula": "Ho12In6Ru",
  "functional": "GGA-PBE",
  "state": "relaxed",
  "space_group": "R-3, No. 148",
  "volume_a3_per_atom": 29.151,
  "e_form_ev_per_atom": -0.203,
  "dos_at_fermi_per_ev_fu": 18.9,
  "magnetic_moment_mub_per_fu": 0.00,
  "mass_density_g_cm3": 8.30,
  "lattice": [[8.212, 0.348, 0.417], [-0.901, 8.170, 0.417], [-0.901, -1.049, 8.113]],
  "species": ["Ho", "Ho", "Ho", "Ho", "Ho", "Ho", "Ho", "Ho", "Ho", "Ho", "Ho", "Ho", "In", "In", "In", "In", "In", "In", "Ru"],
  "fractional_positions": [[0.796, 0.568, 0.454], [0.454, 0.796, 0.568], [0.568, 0.454, 0.796], [0.204, 0.432, 0.546], [0.546, 0.204, 0.432], [0.432, 0.546, 0.204], [0.981, 0.097, 0.318], [0.903, 0.682, 0.019], [0.682, 0.019, 0.903], [0.019, 0.903, 0.682], [0.097, 0.318, 0.981], [0.318, 0.981, 0.097], [0.660, 0.867, 0.268], [0.732, 0.340, 0.133], [0.133, 0.732, 0.340], [0.340, 0.133, 0.732], [0.268, 0.660, 0.867], [0.867, 0.268, 0.660], [0.000, 0.000, 0.000]]
}

(9)
{
  "formula": "HoInRu4",
  "functional": "GGA-PBE",
  "state": "relaxed",
  "space_group": "F-43m, No. 216",
  "volume_a3_per_atom": 17.202,
  "e_form_ev_per_atom": -0.062,
  "dos_at_fermi_per_ev_fu": 9.2,
  "magnetic_moment_mub_per_fu": 0.00,
  "mass_density_g_cm3": 11.00,
  "lattice": [[5.265, 0.000, 0.000], [2.633, 4.560, 0.000], [2.633, 1.520, 4.299]],
  "species": ["Ru", "Ru", "Ru", "Ru", "Ho", "In"],
  "fractional_positions": [[0.626, 0.626, 0.123], [0.626, 0.123, 0.626], [0.626, 0.626, 0.626], [0.123, 0.626, 0.626], [0.250, 0.250, 0.250], [0.000, 0.000, 0.000]]
}

(10)
{
  "formula": "Ho5In2Ru",
  "functional": "GGA-PBE",
  "state": "relaxed",
  "space_group": "Pbam, No. 55",
  "polymorph_energy_mev_per_atom": 0,
  "volume_a3_per_atom": 26.083,
  "e_form_ev_per_atom": -0.390,
  "dos_at_fermi_per_ev_fu": 4.8,
  "magnetic_moment_mub_per_fu": 0.00,
  "mass_density_g_cm3": 9.19,
  "lattice": [[4.951, 0.000, 0.000], [0.000, 6.736, 0.000], [0.000, 0.000, 12.515]],
  "species": ["Ho", "Ho", "Ho", "Ho", "Ho", "Ho", "Ho", "Ho", "Ho", "Ho", "In", "In", "In", "In", "Ru", "Ru"],
  "fractional_positions": [[0.500, 0.328, 0.089], [0.500, 0.672, 0.911], [0.500, 0.828, 0.411], [0.500, 0.172, 0.589], [0.000, 0.886, 0.713], [0.000, 0.114, 0.287], [0.000, 0.386, 0.787], [0.000, 0.614, 0.213], [0.000, 0.500, 0.500], [0.000, 0.000, 0.000], [0.500, 0.379, 0.345], [0.500, 0.621, 0.655], [0.500, 0.121, 0.845], [0.500, 0.879, 0.155], [0.000, 0.000, 0.500], [0.000, 0.500, 0.000]]
}